# PrCdMo2O8 (PBE with a Hubbard U, optimized geometry)
data_PrCdMo2O8
_symmetry_space_group_name_H-M 'P 1'
_symmetry_Int_Tables_number 1
_symmetry_space_group_name_Hall 'P 1'
_cell_length_a 6.8950
_cell_length_b 6.8950
_cell_length_c 6.8950
_cell_angle_alpha 134.51
_cell_angle_beta 134.51
_cell_angle_gamma 66.30
loop_
_atom_site_label
_atom_site_type_symbol
_atom_site_fract_x
_atom_site_fract_y
_atom_site_fract_z
_atom_site_occupancy
Pr1 Pr 0.0000 0.0000 0.0000 1
Cd1 Cd 0.2500 0.7500 0.5000 1
Mo1 Mo 0.5000 0.5000 0.0000 1
Mo2 Mo 0.7500 0.2500 0.5000 1
O1 O 0.0010 0.0803 0.4139 1
O2 O 0.2555 0.6548 0.0768 1
O3 O 0.3452 0.4221 0.6007 1
O4 O 0.4129 0.9990 0.0793 1
O5 O 0.5779 0.1787 0.9232 1
O6 O 0.6664 0.5871 0.5861 1
O7 O 0.8213 0.7445 0.3993 1
O8 O 0.9197 0.3336 0.9207 1
# Size of the total moment: 0.0833 μB per atom
# Calculated total energy: -82.8 eV for the cell shown